[1]
# InReP2O

A geometry-optimized InReP2O structure (GGA-PBE, Alexandria via LeMat-Bulk).

Cell lengths 4.8496, 4.8496, 3.7553 Å; angles 90.00, 90.00, 90.00 degrees
Positions (direct):
In1 0.0000 0.0000 0.0000
Re1 0.5000 0.5000 0.5000
P1 0.0000 0.5000 0.5000
P2 0.5000 0.0000 0.5000
O1 0.5000 0.5000 0.0000

The uncorrected formation energy is -0.162 eV per atom. As for the space-group type: P4/mmm, No. 123.

[2]
# InP2SO

A geometry-optimized InP2SO structure (GGA-PBE, Alexandria via LeMat-Bulk).

Cell lengths 5.1354, 5.1354, 3.9923 Å; angles 90.00, 90.00, 90.00 degrees
Positions (direct):
In1 0.0000 0.0000 0.0000
P1 0.0000 0.5000 0.0000
P2 0.5000 0.0000 0.0000
S1 0.5000 0.5000 0.5000
O1 0.0000 0.0000 0.5000

The uncorrected formation energy is 0.882 eV per atom. As for the space-group type: P4/mmm, No. 123.

[3]
# InPSO2

A geometry-optimized InPSO2 structure (GGA-PBE, Alexandria via LeMat-Bulk).

Cell lengths 3.7774, 3.7774, 4.7134 Å; angles 90.00, 90.00, 90.00 degrees
Positions (direct):
In1 0.0000 0.0000 0.0000
P1 0.5000 0.5000 0.0000
S1 0.5000 0.5000 0.5000
O1 0.0000 0.5000 0.5000
O2 0.5000 0.0000 0.5000

The uncorrected formation energy is -0.005 eV per atom. As for the space-group type: P4/mmm, No. 123.

[4]
# InP2SO

A geometry-optimized InP2SO structure (GGA-PBE, Alexandria via LeMat-Bulk).

Cell lengths 4.7897, 4.7897, 3.5914 Å; angles 90.00, 90.00, 90.00 degrees
Positions (direct):
In1 0.0000 0.0000 0.0000
P1 0.0000 0.5000 0.5000
P2 0.5000 0.0000 0.5000
S1 0.5000 0.5000 0.5000
O1 0.5000 0.5000 0.0000

The uncorrected formation energy is 0.356 eV per atom. As for the space-group type: P4/mmm, No. 123.

[5]
# InPSO2

A geometry-optimized InPSO2 structure (GGA-PBE, Alexandria via LeMat-Bulk).

Cell lengths 3.8893, 3.8893, 7.4568 Å; angles 90.00, 90.00, 90.00 degrees
Positions (direct):
In1 0.0000 0.0000 0.0000
P1 0.0000 0.0000 0.5000
S1 0.5000 0.5000 0.5000
O1 0.0000 0.5000 0.0000
O2 0.5000 0.0000 0.0000

The uncorrected formation energy is 0.295 eV per atom. As for the space-group type: P4/mmm, No. 123.

[6]
# InP2SO

A geometry-optimized InP2SO structure (GGA-PBE, Alexandria via LeMat-Bulk).

Cell lengths 5.1009, 5.1009, 5.0322 Å; angles 90.00, 90.00, 90.00 degrees
Positions (direct):
In1 0.0000 0.0000 0.0000
P1 0.0000 0.5000 0.0000
P2 0.5000 0.0000 0.0000
S1 0.0000 0.0000 0.5000
O1 0.5000 0.5000 0.5000

The uncorrected formation energy is 1.553 eV per atom. As for the space-group type: P4/mmm, No. 123.

[7]
# InP2SO

A geometry-optimized InP2SO structure (GGA-PBE, Alexandria via LeMat-Bulk).

Cell lengths 3.8253, 3.8253, 6.6085 Å; angles 90.00, 90.00, 90.00 degrees
Positions (direct):
In1 0.0000 0.0000 0.0000
P1 0.0000 0.5000 0.5000
P2 0.5000 0.0000 0.5000
S1 0.5000 0.5000 0.0000
O1 0.5000 0.5000 0.5000

The uncorrected formation energy is 0.296 eV per atom. As for the space-group type: P4/mmm, No. 123.

[8]
# InSbPO2

A geometry-optimized InSbPO2 structure (GGA-PBE, Alexandria via LeMat-Bulk).

Cell lengths 4.0014, 4.0014, 5.3056 Å; angles 90.00, 90.00, 90.00 degrees
Positions (direct):
In1 0.0000 0.0000 0.0000
Sb1 0.5000 0.5000 0.5000
P1 0.5000 0.5000 0.0000
O1 0.0000 0.5000 0.5000
O2 0.5000 0.0000 0.5000

The uncorrected formation energy is -0.548 eV per atom. As for the space-group type: P4/mmm, No. 123.

[9]
# InSbPO2

A geometry-optimized InSbPO2 structure (GGA-PBE, Alexandria via LeMat-Bulk).

Cell lengths 4.1259, 4.1259, 5.2205 Å; angles 90.00, 90.00, 90.00 degrees
Positions (direct):
In1 0.0000 0.0000 0.0000
Sb1 0.5000 0.5000 0.5000
P1 0.0000 0.0000 0.5000
O1 0.0000 0.5000 0.0000
O2 0.5000 0.0000 0.0000

The uncorrected formation energy is -0.074 eV per atom. As for the space-group type: P4/mmm, No. 123.

[10]
# InSbP4O14

A geometry-optimized InSbP4O14 structure (GGA-PBE, Alexandria via LeMat-Bulk).

Cell lengths 8.0732, 16.3630, 8.1066 Å; angles 90.00, 90.00, 90.00 degrees
Positions (direct):
In1 0.0157 0.1257 0.0000
In2 0.4843 0.6257 0.5000
In3 0.5157 0.3743 0.0000
In4 0.9843 0.8743 0.5000
Sb1 0.0166 0.3771 0.4978
Sb2 0.4834 0.8771 0.9978
Sb3 0.5166 0.1229 0.4978
Sb4 0.9834 0.6229 0.9978
P1 0.0889 0.5675 0.3759
P2 0.0981 0.8141 0.1021
P3 0.1064 0.3290 0.1129
P4 0.1232 0.0753 0.4023
P5 0.3768 0.5753 0.9023
P6 0.3936 0.8290 0.6129
P7 0.4019 0.3141 0.6021
P8 0.4111 0.0675 0.8759
P9 0.5889 0.9325 0.3759
P10 0.5981 0.6859 0.1021
P11 0.6064 0.1710 0.1129
P12 0.6232 0.4247 0.4023
P13 0.8768 0.9247 0.9023
P14 0.8936 0.6710 0.6129
P15 0.9019 0.1859 0.6021
P16 0.9111 0.4325 0.8759
O1 0.0060 0.3217 0.2797
O2 0.0206 0.0039 0.4571
O3 0.0219 0.4091 0.0300
O4 0.0312 0.4240 0.7254
O5 0.0505 0.1578 0.4876
O6 0.0674 0.2553 0.0086
O7 0.0758 0.7202 0.1128
O8 0.1005 0.8545 0.2673
O9 0.1264 0.4752 0.4028
O10 0.1399 0.0943 0.2212
O11 0.2003 0.5677 0.9815
O12 0.2135 0.8510 0.6364
O13 0.2416 0.3302 0.5047
O14 0.2465 0.6155 0.3650
O15 0.2535 0.1155 0.8650
O16 0.2584 0.8302 0.0047
O17 0.2865 0.3510 0.1364
O18 0.2997 0.0677 0.4815
O19 0.3601 0.5943 0.7212
O20 0.3736 0.9752 0.9028
O21 0.3995 0.3545 0.7673
O22 0.4242 0.2202 0.6128
O23 0.4326 0.7553 0.5086
O24 0.4495 0.6578 0.9876
O25 0.4688 0.9240 0.2254
O26 0.4781 0.9091 0.5300
O27 0.4794 0.5039 0.9571
O28 0.4940 0.8217 0.7797
O29 0.5060 0.1783 0.2797
O30 0.5206 0.4961 0.4571
O31 0.5219 0.0909 0.0300
O32 0.5312 0.0760 0.7254
O33 0.5505 0.3422 0.4876
O34 0.5674 0.2447 0.0086
O35 0.5758 0.7798 0.1128
O36 0.6005 0.6455 0.2673
O37 0.6264 0.0248 0.4028
O38 0.6399 0.4057 0.2212
O39 0.7003 0.9323 0.9815
O40 0.7135 0.6490 0.6364
O41 0.7416 0.1698 0.5047
O42 0.7465 0.8845 0.3650
O43 0.7535 0.3845 0.8650
O44 0.7584 0.6698 0.0047
O45 0.7865 0.1490 0.1364
O46 0.7997 0.4323 0.4815
O47 0.8601 0.9057 0.7212
O48 0.8736 0.5248 0.9028
O49 0.8995 0.1455 0.7673
O50 0.9242 0.2798 0.6128
O51 0.9326 0.7447 0.5086
O52 0.9495 0.8422 0.9876
O53 0.9688 0.5760 0.2254
O54 0.9781 0.5909 0.5300
O55 0.9794 0.9961 0.9571
O56 0.9940 0.6783 0.7797

The uncorrected formation energy is -1.968 eV per atom. As for the space-group type: Pna2_1, No. 33.

[11]
# ScInPO2

A geometry-optimized ScInPO2 structure (GGA-PBE, Alexandria via LeMat-Bulk).

Cell lengths 3.9985, 3.9985, 5.5863 Å; angles 90.00, 90.00, 90.00 degrees
Positions (direct):
Sc1 0.0000 0.0000 0.0000
In1 0.5000 0.5000 0.5000
P1 0.0000 0.0000 0.5000
O1 0.0000 0.5000 0.0000
O2 0.5000 0.0000 0.0000

The uncorrected formation energy is -1.164 eV per atom. As for the space-group type: P4/mmm, No. 123.

[12]
# ScInP2O

A geometry-optimized ScInP2O structure (GGA-PBE, Alexandria via LeMat-Bulk).

Cell lengths 5.0450, 5.0450, 3.9924 Å; angles 90.00, 90.00, 90.00 degrees
Positions (direct):
Sc1 0.0000 0.0000 0.0000
In1 0.5000 0.5000 0.5000
P1 0.0000 0.5000 0.5000
P2 0.5000 0.0000 0.5000
O1 0.5000 0.5000 0.0000

The uncorrected formation energy is 0.092 eV per atom. As for the space-group type: P4/mmm, No. 123.